[1]
HoScMnIn | PBE | relaxed

It has space group F-43m (No. 216), with a = 7.126 Å, b = 7.126 Å, c = 7.126 Å, α = 90.00°, β = 90.00° and γ = 90.00°. The distinct sites, in fractional coordinates, are Ho at (0.000, 0.000, 0.000), Sc at (0.000, 0.000, 0.500), Mn at (0.250, 0.250, 0.250) and In at (0.250, 0.250, 0.750).

The magnetic moment is 13.16 μB/cell. The value obtained for the raw total energy is -5.81 eV per atom. The energy of formation from the pure elements is -0.104 eV/atom.

[2]
HoMnInSe3 | PBE | relaxed

It has space group Cmcm (No. 63), with a = 4.136 Å, b = 14.564 Å, c = 10.985 Å, α = 90.00°, β = 90.00° and γ = 90.00°. The distinct sites, in fractional coordinates, are Ho at (0.000, 0.000, 0.000), Mn at (0.000, 0.460, 0.250), In at (0.000, 0.248, 0.750), Se at (0.000, 0.066, 0.250) and Se at (0.000, 0.370, 0.058).

The magnetic moment is 20.03 μB/cell. The value obtained for the raw total energy is -5.48 eV per atom.

[3]
SmHoMnIn | PBE | relaxed

It has space group F-43m (No. 216), with a = 7.412 Å, b = 7.412 Å, c = 7.412 Å, α = 90.00°, β = 90.00° and γ = 90.00°. The distinct sites, in fractional coordinates, are Sm at (0.000, 0.000, 0.000), Ho at (0.000, 0.000, 0.500), Mn at (0.250, 0.250, 0.250) and In at (0.250, 0.250, 0.750).

The magnetic moment is 13.45 μB/cell. The value obtained for the raw total energy is -5.39 eV per atom. The energy of formation from the pure elements is -0.085 eV/atom.

[4]
HoTmMnIn | PBE | relaxed

It has space group F-43m (No. 216), with a = 7.286 Å, b = 7.286 Å, c = 7.286 Å, α = 90.00°, β = 90.00° and γ = 90.00°. The distinct sites, in fractional coordinates, are Ho at (0.000, 0.000, 0.000), Tm at (0.000, 0.000, 0.500), Mn at (0.250, 0.250, 0.250) and In at (0.250, 0.250, 0.750).

The magnetic moment is 13.63 μB/cell. The value obtained for the raw total energy is -5.34 eV per atom. The energy of formation from the pure elements is -0.099 eV/atom.

[5]
YHoMnIn | PBE | relaxed

It has space group F-43m (No. 216), with a = 7.348 Å, b = 7.348 Å, c = 7.348 Å, α = 90.00°, β = 90.00° and γ = 90.00°. The distinct sites, in fractional coordinates, are Y at (0.000, 0.000, 0.000), Ho at (0.000, 0.000, 0.500), Mn at (0.250, 0.250, 0.250) and In at (0.250, 0.250, 0.750).

The magnetic moment is 13.73 μB/cell. The value obtained for the raw total energy is -5.85 eV per atom. The energy of formation from the pure elements is -0.108 eV/atom.